1.
The following is a PBE calculation of a relaxed Y3GaPd12 crystal, from Alexandria.

Computed properties:
**Uncorrected energy**: -6.044 eV per atom
**Energy of formation**: -0.748 eV per atom
**Total magnetic moment**: 0.0 μB per cell

a = 4.113 Å, b = 4.113 Å, c = 16.082 Å
α = 90.00°, β = 90.00°, γ = 90.00°
Space group P4/mmm (No. 123)
One atom of each set of equivalent atoms:
Y 0.000 0.000 0.000 (multiplicity 1)
Y 0.000 0.000 0.258 (multiplicity 2)
Ga 0.000 0.000 0.500 (multiplicity 1)
Pd 0.000 0.500 0.129 (multiplicity 4)
Pd 0.000 0.500 0.388 (multiplicity 4)
Pd 0.500 0.500 0.000 (multiplicity 1)
Pd 0.500 0.500 0.258 (multiplicity 2)
Pd 0.500 0.500 0.500 (multiplicity 1)

***

2.
The following is a PBE calculation of a relaxed NaTmGeO4 crystal, from Alexandria.

Computed properties:
**Formation energy (no corrections)**: -2.35 eV per atom
**Excess energy over the best structure of this formula in the dataset**: 148 meV/atom
**Uncorrected energy**: -6.674 eV per atom
**Total magnetic moment**: 0.0 μB per cell

a = 5.986 Å, b = 6.702 Å, c = 8.783 Å
α = 90.00°, β = 90.00°, γ = 90.00°
Space group Imma (No. 74)
One atom of each set of equivalent atoms:
Na 0.250 0.250 0.250 (multiplicity 4)
Tm 0.000 0.000 0.000 (multiplicity 4)
Ge 0.000 0.250 0.635 (multiplicity 4)
O 0.000 0.029 0.747 (multiplicity 8)
O 0.247 0.250 0.510 (multiplicity 8)